Record 1
A relaxed LiLaHg2Pb crystal. Source: Alexandria via LeMat-Bulk, functional GGA-PBE.

DFT formation energy: -1.53 eV per formula unit
final energy: -12.681 eV/cell
SG: P4/mmm (123)
N(E_F): 2.37 states/eV per cell

a b c (Å): 4.9478 4.9478 5.2545
angles (deg): 90.00 90.00 90.00
Atoms (fractional coordinates):
Li 0.0000 0.0000 0.0000
La 0.5000 0.5000 0.5000
Hg 0.0000 0.5000 0.0000
Hg 0.5000 0.0000 0.0000
Pb 0.0000 0.0000 0.5000

---

Record 2
A relaxed LiLaHg2Pb crystal. Source: Alexandria via LeMat-Bulk, functional GGA-PBE.

DFT formation energy: 3.09 eV per formula unit
final energy: -8.063 eV/cell
SG: P4/mmm (123)
N(E_F): 7.65 states/eV per cell

a b c (Å): 5.8401 5.8401 5.7821
angles (deg): 90.00 90.00 90.00
Atoms (fractional coordinates):
Li 0.0000 0.0000 0.0000
La 0.0000 0.0000 0.5000
Hg 0.0000 0.5000 0.5000
Hg 0.5000 0.0000 0.5000
Pb 0.5000 0.5000 0.0000

---

What did the second record say?
A relaxed LiLaHg2Pb crystal. Source: Alexandria via LeMat-Bulk, functional GGA-PBE.

DFT formation energy: 3.09 eV per formula unit
final energy: -8.063 eV/cell
SG: P4/mmm (123)
N(E_F): 7.65 states/eV per cell

a b c (Å): 5.8401 5.8401 5.7821
angles (deg): 90.00 90.00 90.00
Atoms (fractional coordinates):
Li 0.0000 0.0000 0.0000
La 0.0000 0.0000 0.5000
Hg 0.0000 0.5000 0.5000
Hg 0.5000 0.0000 0.5000
Pb 0.5000 0.5000 0.0000

---

- Which value of N(E_F) does entry 1 give?
  2.37 states/eV per cell

---

- What is the formula in the second record?
  LiLaHg2Pb